Entry a
Computed, not measured: a geometry-optimized SrTbMg2 structure at the PBE level of DFT.

Calculated values
ρ in Mg/m³: 3.88
Fermi-level density of states in states/eV/f.u.: 4.5

a = 7.9679 Å, b = 7.9679 Å, c = 7.9679 Å
α = 90.00°, β = 90.00°, γ = 90.00°
Space group Fm-3m (No. 225)
One atom of each set of equivalent atoms:
Sr  0.0000  0.0000  0.0000 [4 per cell]
Tb  0.0000  0.0000  0.5000 [4 per cell]
Mg  0.2500  0.2500  0.2500 [8 per cell]

---

Entry b
Computed, not measured: a geometry-optimized SrTbMg2 structure at the PBE level of DFT.

Calculated values
ρ in Mg/m³: 3.86
Fermi-level density of states in states/eV/f.u.: 4.4

a = 3.9906 Å, b = 3.9906 Å, c = 7.9748 Å
α = 90.00°, β = 90.00°, γ = 90.00°
Space group P4/mmm (No. 123)
One atom of each set of equivalent atoms:
Sr  0.0000  0.0000  0.0000 [1 per cell]
Tb  0.0000  0.0000  0.5000 [1 per cell]
Mg  0.5000  0.5000  0.2836 [2 per cell]

---

Result of the stability comparison: entry b is the most stable of them.

---

Entry a
Computed, not measured: a geometry-optimized SrTb2Mg structure at the PBE level of DFT.

Calculated values
ρ in Mg/m³: 5.20
Fermi-level density of states in states/eV/f.u.: 4.7

a = 3.8334 Å, b = 3.8334 Å, c = 9.3470 Å
α = 90.00°, β = 90.00°, γ = 90.00°
Space group P4/mmm (No. 123)
One atom of each set of equivalent atoms:
Sr  0.0000  0.0000  0.0000 [1 per cell]
Tb  0.5000  0.5000  0.3086 [2 per cell]
Mg  0.0000  0.0000  0.5000 [1 per cell]

---

Entry b
Computed, not measured: a geometry-optimized SrTb2Mg structure at the PBE level of DFT.

Calculated values
ρ in Mg/m³: 5.14
Fermi-level density of states in states/eV/f.u.: 7.0

a = 3.5924 Å, b = 3.5924 Å, c = 37.2922 Å
α = 90.00°, β = 90.00°, γ = 120.00°
Space group R-3m (No. 166, hexagonal axes)
One atom of each set of equivalent atoms:
Sr  0.0000  0.0000  0.0000 [3 per cell]
Tb  0.0000  0.0000  0.0965 [6 per cell]
Mg  0.0000  0.0000  0.5000 [3 per cell]

---

Result of the stability comparison: entry a is the most stable of them.

---

Entry a
Computed, not measured: a geometry-optimized Sr2MgTe structure at the PBE level of DFT.

Calculated values
ρ in Mg/m³: 3.38
Fermi-level density of states in states/eV/f.u.: 3.7

a = 4.8331 Å, b = 4.8331 Å, c = 6.8899 Å
α = 90.00°, β = 90.00°, γ = 90.00°
Space group P4mm (No. 99)
One atom of each set of equivalent atoms:
Sr  0.0000  0.0000  0.0000 [1 per cell]
Sr  0.5000  0.5000  0.4987 [1 per cell]
Mg  0.5000  0.5000  0.9987 [1 per cell]
Te  0.0000  0.0000  0.4998 [1 per cell]

---

Entry b
Computed, not measured: a geometry-optimized Sr2MgTe structure at the PBE level of DFT.

Calculated values
ρ in Mg/m³: 3.78
Fermi-level density of states in states/eV/f.u.: 2.5

a = 8.3167 Å, b = 8.3167 Å, c = 8.3167 Å
α = 90.00°, β = 90.00°, γ = 90.00°
Space group F-43m (No. 216)
One atom of each set of equivalent atoms:
Sr  0.0000  0.0000  0.0000 [4 per cell]
Sr  0.2500  0.2500  0.2500 [4 per cell]
Mg  0.2500  0.2500  0.7500 [4 per cell]
Te  0.0000  0.0000  0.5000 [4 per cell]

---

Entry c
Computed, not measured: a geometry-optimized Sr2MgTe structure at the PBE level of DFT.

Calculated values
ρ in Mg/m³: 3.72
Fermi-level density of states in states/eV/f.u.: 1.3

a = 13.8308 Å, b = 4.1844 Å, c = 5.4717 Å
α = 90.00°, β = 112.89°, γ = 90.00°
Space group Cm (No. 8)
One atom of each set of equivalent atoms:
Sr  0.0000  0.0000  0.0000 [2 per cell]
Sr  0.2148  0.0000  0.7095 [2 per cell]
Mg  0.2898  0.5000  0.2816 [2 per cell]
Te  0.4924  0.0000  0.4945 [2 per cell]

---

Result of the stability comparison: entry c is the most stable of them.